Material: V6F13
Method: DFT, PBEsol
State: relaxed

Total moment = 34.00 μB/cell
Final energy = -0.250 hartree per atom

Lattice parameters (Å, degrees): 7.8388 7.9103 10.0038 71.33 75.62 62.91
Last column: nearest neighbours and their distance in Å.
Space group P-1 (No. 2)
One atom of each set of equivalent atoms:
V  0.0433  0.0790  0.2518  6 F 1.95-2.10
V  0.1360  0.2808  0.5009  6 F 2.04-2.07
V  0.2174  0.4304  0.0211  6 F 1.93-2.12
V  0.2465  0.4884  0.7308  6 F 2.03-2.05
V  0.3166  0.6427  0.2489  6 F 1.96-2.12
V  0.4211  0.8442  0.4979  6 F 2.05-2.08
F  0.0292  0.7193  0.6273  3 V 2.03-2.10
F  0.0535  0.4131  0.8900  3 V 2.05-2.12
F  0.1106  0.8761  0.1518  2 V 1.96-1.97
F  0.1122  0.5580  0.3887  3 V 2.05-2.06
F  0.1657  0.0028  0.6099  3 V 2.05-2.08
F  0.1781  0.6822  0.8518  3 V 2.05-2.11
F  0.2378  0.1754  0.1403  2 V 1.94-1.95
F  0.2585  0.8410  0.3677  3 V 2.05-2.10
F  0.3155  0.2882  0.6170  3 V 2.04-2.07
F  0.3627  0.4650  0.1330  2 V 1.93-1.96
F  0.3970  0.1267  0.3993  3 V 2.05-2.08
F  0.4452  0.3084  0.8692  3 V 2.04-2.11
F  0.4649  0.5683  0.6220  3 V 2.03-2.12

---

Material: VZnF6
Method: DFT, PBEsol
State: relaxed

Total moment = 3.00 μB/cell
Final energy = -0.201 hartree per atom

Lattice parameters (Å, degrees): 5.0630 5.0630 13.4305 90.00 90.00 120.00
Last column: nearest neighbours and their distance in Å.
Space group R-3 (No. 148, hexagonal axes)
One atom of each set of equivalent atoms:
V  0.0000  0.0000  0.0000  6 F 1.85
Zn  0.0000  0.0000  0.5000  6 F 2.02
F  0.0174  0.6250  0.7464  1 V 1.85, 1 Zn 2.02

---

Material: VZnF4
Method: DFT, PBEsol
State: relaxed

Total moment = 5.93 μB/cell
Final energy = -0.200 hartree per atom

Lattice parameters (Å, degrees): 5.0240 5.3724 5.8014 72.10 76.88 87.14
Last column: nearest neighbours and their distance in Å.
Space group P-1 (No. 2)
One atom of each set of equivalent atoms:
V  0.0000  0.0000  0.0000  6 F 2.02-2.08
V  0.5000  0.5000  0.0000  6 F 2.06-2.09
Zn  0.1212  0.6959  0.5962  5 F 1.97-2.11
F  0.1524  0.9990  0.2948  1 Zn 1.97, 1 V 2.02
F  0.2162  0.3541  0.8582  2 V 2.08-2.09, 1 Zn 2.11
F  0.2430  0.4835  0.3436  2 Zn 2.02-2.09, 1 V 2.09
F  0.3095  0.8234  0.8150  1 Zn 2.03, 2 V 2.05-2.06

---

Material: YW3F
Method: DFT, PBEsol
State: relaxed

Total moment = 0.00 μB/cell
Final energy = -0.335 hartree per atom

Lattice parameters (Å, degrees): 4.3593 4.3593 4.3593 90.00 90.00 90.00
Last column: nearest neighbours and their distance in Å.
Space group Pm-3m (No. 221)
One atom of each set of equivalent atoms:
Y  0.0000  0.0000  0.0000  12 W 3.08
W  0.0000  0.5000  0.5000  2 F 2.18
F  0.5000  0.5000  0.5000  6 W 2.18

---

Material: ZnWF5
Method: DFT, PBEsol
State: relaxed

Total moment = 12.00 μB/cell
Final energy = -0.203 hartree per atom

Lattice parameters (Å, degrees): 4.9633 10.5266 7.4312 90.00 108.35 90.00
Last column: nearest neighbours and their distance in Å.
Space group P2_1/c (No. 14)
One atom of each set of equivalent atoms:
Zn  0.0168  0.0024  0.2310  4 F 1.93-2.06
W  0.4022  0.2437  0.6287  6 F 2.02-2.08
F  0.0729  0.1172  0.5890  1 Zn 1.99, 1 W 2.06
F  0.1642  0.0983  0.0149  2 Zn 2.06-2.21, 1 W 2.06
F  0.2497  0.6413  0.3220  1 Zn 1.93, 1 W 2.05
F  0.3744  0.5861  0.7622  1 Zn 1.95, 1 W 2.02
F  0.3807  0.1623  0.3703  2 W 2.08

---

Material: ZrW3F
Method: DFT, PBEsol
State: relaxed

Total moment = 0.00 μB/cell
Final energy = -0.281 hartree per atom

Lattice parameters (Å, degrees): 4.7660 4.7660 4.7660 90.00 90.00 90.00
Last column: nearest neighbours and their distance in Å.
Space group Pm-3m (No. 221)
One atom of each set of equivalent atoms:
Zr  0.0000  0.0000  0.0000  6 W 2.38
W  0.0000  0.0000  0.5000  2 Zr 2.38
F  0.5000  0.5000  0.5000  12 W 3.37

---

Material: Y2Zn2F
Method: DFT, PBEsol
State: relaxed

Total moment = 0.99 μB/cell
Final energy = -0.150 hartree per atom

Lattice parameters (Å, degrees): 5.5995 5.5995 7.1040 90.00 90.00 90.00
Last column: nearest neighbours and their distance in Å.
Space group I4/mmm (No. 139)
One atom of each set of equivalent atoms:
Y  0.0000  0.5000  0.2500  4 Zn 2.88
Zn  0.0000  0.0000  0.1577  1 Zn 2.24, 1 F 2.43
F  0.0000  0.0000  0.5000  2 Zn 2.43

---

Material: YZn3F
Method: DFT, PBEsol
State: relaxed

Total moment = 0.00 μB/cell
Final energy = -0.074 hartree per atom

Lattice parameters (Å, degrees): 5.6753 5.6753 5.6753 90.00 90.00 90.00
Last column: nearest neighbours and their distance in Å.
Space group Pm-3m (No. 221)
One atom of each set of equivalent atoms:
Y  0.0000  0.0000  0.0000  6 Zn 2.84
Zn  0.0000  0.0000  0.5000  2 Y 2.84
F  0.5000  0.5000  0.5000  12 Zn 4.01

---

Material: YZr3F15
Method: DFT, PBEsol
State: relaxed

Total moment = 0.00 μB/cell
Final energy = -0.264 hartree per atom

Lattice parameters (Å, degrees): 10.3767 12.3651 8.0625 90.00 106.09 90.00
Last column: nearest neighbours and their distance in Å.
Space group C2/c (No. 15)
One atom of each set of equivalent atoms:
Y  0.0000  0.1774  0.2500  8 F 2.21-2.28
Zr  0.0000  0.2472  0.7500  6 F 1.99-2.03
Zr  0.2123  0.4656  0.3259  7 F 2.03-2.22
F  0.0000  0.4673  0.2500  2 Zr 2.12
F  0.0283  0.2532  0.0042  1 Zr 1.99
F  0.1255  0.0621  0.1483  1 Zr 2.03, 1 Y 2.23
F  0.1412  0.3649  0.7782  2 Zr 2.03-2.22
F  0.1428  0.1331  0.7790  1 Zr 2.01
F  0.1493  0.1030  0.4703  1 Zr 2.04, 1 Y 2.21
F  0.1524  0.3087  0.3195  1 Zr 2.03, 1 Y 2.23
F  0.1653  0.4836  0.0541  2 Zr 2.12

---

Material: YZrF2
Method: DFT, PBEsol
State: relaxed

Total moment = 3.32 μB/cell
Final energy = -0.256 hartree per atom

Lattice parameters (Å, degrees): 3.1637 3.1637 23.0719 90.00 90.00 120.00
Last column: nearest neighbours and their distance in Å.
Space group R-3m (No. 166, hexagonal axes)
One atom of each set of equivalent atoms:
Y  0.0000  0.0000  0.0000  6 F 2.45
Zr  0.0000  0.0000  0.5000  2 F 2.21
F  0.0000  0.0000  0.4044  1 Zr 2.21, 3 Y 2.45

---

Material: ZrZnF3
Method: DFT, PBEsol
State: relaxed

Total moment = 1.01 μB/cell
Final energy = -0.206 hartree per atom

Lattice parameters (Å, degrees): 4.2685 4.2685 4.2685 90.00 90.00 90.00
Last column: nearest neighbours and their distance in Å.
Space group Pm-3m (No. 221)
One atom of each set of equivalent atoms:
Zr  0.0000  0.0000  0.0000  6 F 2.13
Zn  0.5000  0.5000  0.5000  12 F 3.02
F  0.0000  0.0000  0.5000  2 Zr 2.13

---

Material: GdGa8Fe4
Method: DFT, PBEsol
State: relaxed

Total moment = 25.68 μB/cell
Formation energy from the elements = -340 meV/atom

Lattice parameters (Å, degrees): 8.5819 8.5819 4.9820 90.00 90.00 90.00
Last column: nearest neighbours and their distance in Å.
Space group I4/mmm (No. 139)
One atom of each set of equivalent atoms:
Gd  0.0000  0.0000  0.0000  12 Ga 2.92-3.14
Ga  0.0000  0.2231  0.5000  4 Fe 2.49, 6 Ga 2.69-2.75
Ga  0.0000  0.3399  0.0000  4 Fe 2.60, 5 Ga 2.69-2.75
Fe  0.2500  0.2500  0.2500  2 Fe 2.49, 8 Ga 2.49-2.60

---

Material: GaFeGe
Method: DFT, PBEsol
State: relaxed

Total moment = 17.28 μB/cell
Formation energy from the elements = -185 meV/atom

Lattice parameters (Å, degrees): 4.9288 8.5337 15.6918 90.00 90.00 90.00
Last column: nearest neighbours and their distance in Å.
Space group Fddd (No. 70, origin choice 2)
One atom of each set of equivalent atoms:
Ga  0.1250  0.1250  0.0393  4 Fe 2.53-2.55, 3 Ga 2.69-2.75
Fe  0.1250  0.1250  0.4966  4 Ge 2.39-2.44, 2 Fe 2.47, 4 Ga 2.53-2.55
Ge  0.1250  0.2865  0.6250  4 Fe 2.39-2.44

---

Material: GaFeGeSe2
Method: DFT, PBEsol
State: relaxed

Total moment = 3.29 μB/cell
Final energy = -0.150 hartree per atom

Lattice parameters (Å, degrees): 4.9336 4.9336 4.6607 90.00 90.00 90.00
Last column: nearest neighbours and their distance in Å.
Space group P4/mmm (No. 123)
One atom of each set of equivalent atoms:
Ga  0.0000  0.0000  0.0000  2 Ge 2.33, 4 Se 2.47
Fe  0.5000  0.5000  0.5000  8 Se 3.39, 4 Ge 3.49
Ge  0.0000  0.0000  0.5000  2 Ga 2.33
Se  0.0000  0.5000  0.0000  2 Ga 2.47

---

Material: Tb4Ga6FeGe6
Method: DFT, PBEsol
State: relaxed

Total moment = 0.00 μB/cell
Formation energy from the elements = -559 meV/atom

Lattice parameters (Å, degrees): 8.4662 8.4662 8.4662 90.00 90.00 90.00
Last column: nearest neighbours and their distance in Å.
Space group Im-3m (No. 229)
One atom of each set of equivalent atoms:
Tb  0.2500  0.2500  0.2500  6 Ga 2.99, 6 Ge 3.01
Ga  0.0000  0.2500  0.5000  4 Ge 2.78, 4 Tb 2.99, 4 Ga 2.99
Fe  0.0000  0.0000  0.0000  6 Ge 2.44
Ge  0.0000  0.0000  0.2879  1 Fe 2.44

---

Material: Y4Ga6FeGe6
Method: DFT, PBEsol
State: relaxed

Total moment = 0.00 μB/cell
Formation energy from the elements = -554 meV/atom

Lattice parameters (Å, degrees): 8.4646 8.4646 8.4646 90.00 90.00 90.00
Last column: nearest neighbours and their distance in Å.
Space group Im-3m (No. 229)
One atom of each set of equivalent atoms:
Y  0.2500  0.2500  0.2500  6 Ga 2.99, 6 Ge 3.01
Ga  0.0000  0.2500  0.5000  4 Ge 2.78, 4 Y 2.99, 4 Ga 2.99
Fe  0.0000  0.0000  0.0000  6 Ge 2.44
Ge  0.0000  0.0000  0.2878  1 Fe 2.44

---

Material: GaFe2H2
Method: DFT, PBEsol
State: relaxed

E above lowest polymorph = 0.00 eV per formula unit
Total moment = 6.25 μB/cell

Lattice parameters (Å, degrees): 2.8917 2.8917 9.4261 90.00 90.00 90.00
Last column: nearest neighbours and their distance in Å.
Space group I4/mmm (No. 139)
One atom of each set of equivalent atoms:
Ga  0.0000  0.0000  0.0000  8 Fe 2.51, 8 H 2.76
Fe  0.0000  0.0000  0.3456  4 H 1.70
H  0.0000  0.5000  0.2500  4 Fe 1.70

---

Material: GaFe2H2
Method: DFT, PBEsol
State: relaxed

E above lowest polymorph = 0.63 eV per formula unit
Total moment = 7.65 μB/cell

Lattice parameters (Å, degrees): 3.3765 3.3765 7.7930 90.00 90.00 90.00
Last column: nearest neighbours and their distance in Å.
Space group I4/mmm (No. 139)
One atom of each set of equivalent atoms:
Ga  0.0000  0.0000  0.0000  8 Fe 2.58, 10 H 2.63-2.70
Fe  0.0000  0.5000  0.2500  4 H 1.82
H  0.0000  0.0000  0.3371  4 Fe 1.82

---

Material: Zn2GaFeH
Method: DFT, PBEsol
State: relaxed

Total moment = 1.78 μB/cell
Final energy = -0.121 hartree per atom

Lattice parameters (Å, degrees): 4.7836 4.7836 3.0454 90.00 90.00 90.00
Last column: nearest neighbours and their distance in Å.
Space group P4/mmm (No. 123)
One atom of each set of equivalent atoms:
Zn  0.0000  0.5000  0.0000  2 Fe 2.39
Ga  0.0000  0.0000  0.5000  8 Zn 2.84, 2 Ga 3.05
Fe  0.5000  0.5000  0.0000  2 H 1.52
H  0.5000  0.5000  0.5000  2 Fe 1.52

---

Material: Hf2GaFeSb
Method: DFT, PBEsol
State: relaxed

Total moment = 2.49 μB/cell
Final energy = -0.237 hartree per atom

Lattice parameters (Å, degrees): 4.8933 4.8933 4.9534 90.00 90.00 90.00
Last column: nearest neighbours and their distance in Å.
Space group P4/mmm (No. 123)
One atom of each set of equivalent atoms:
Hf  0.0000  0.5000  0.0000  2 Ga 2.45
Ga  0.0000  0.0000  0.0000  4 Hf 2.45, 2 Sb 2.48
Fe  0.5000  0.5000  0.5000  4 Sb 3.46, 8 Hf 3.48
Sb  0.0000  0.0000  0.5000  2 Ga 2.48

---

Material: GaFe3Hg
Method: DFT, PBEsol
State: relaxed

Total moment = 7.40 μB/cell
Formation energy from the elements = 998 meV/atom

Lattice parameters (Å, degrees): 4.3508 4.3508 4.3508 90.00 90.00 90.00
Last column: nearest neighbours and their distance in Å.
Space group Pm-3m (No. 221)
One atom of each set of equivalent atoms:
Ga  0.0000  0.0000  0.0000  6 Fe 2.18
Fe  0.0000  0.0000  0.5000  2 Ga 2.18
Hg  0.5000  0.5000  0.5000  12 Fe 3.08